Record 1
# LaZr2Cr PBE relaxed
# Total energy ... -7.50 eV/atom
# Excess energy over the best structure of this formula in the dataset ... 212.1 meV/atom
# D(E_F) ... 4.7 states/eV/f.u.
# Formation enthalpy at 0 K ... 413 meV/atom
data_LaZr2Cr
_chemical_formula_sum 'La1 Zr2 Cr1'
_cell_length_a 4.443
_cell_length_b 4.443
_cell_length_c 4.825
_cell_angle_alpha 90.00
_cell_angle_beta 90.00
_cell_angle_gamma 90.00
_space_group_name_H-M_alt 'P 4/m m m'
_space_group_IT_number 123
_space_group_name_Hall '-P 4 2'
loop_
_atom_site_label
_atom_site_type_symbol
_atom_site_fract_x
_atom_site_fract_y
_atom_site_fract_z
La1 La 0.000 0.000 0.000
Zr1 Zr 0.000 0.500 0.500
Cr1 Cr 0.500 0.500 0.000

***

Record 2
# AcZn2InCu PBE relaxed
# Total energy ... -2.98 eV/atom
# D(E_F) ... 3.2 states/eV/f.u.
# Formation enthalpy at 0 K ... -285 meV/atom
data_AcZn2InCu
_chemical_formula_sum 'Ac2 Zn4 In2 Cu2'
_cell_length_a 4.405
_cell_length_b 4.425
_cell_length_c 11.368
_cell_angle_alpha 90.00
_cell_angle_beta 90.00
_cell_angle_gamma 90.00
_space_group_name_H-M_alt 'I m m 2'
_space_group_IT_number 44
_space_group_name_Hall 'I 2 -2'
loop_
_atom_site_label
_atom_site_type_symbol
_atom_site_fract_x
_atom_site_fract_y
_atom_site_fract_z
Ac1 Ac 0.000 0.000 0.000
Zn1 Zn 0.000 0.000 0.610
Zn2 Zn 0.000 0.500 0.256
In1 In 0.000 0.500 0.754
Cu1 Cu 0.000 0.000 0.388

***

Record 3
# Mn2AsRh PBE relaxed
# Total energy ... -7.66 eV/atom
# D(E_F) ... 3.8 states/eV/f.u.
# Formation enthalpy at 0 K ... -75 meV/atom
data_Mn2AsRh
_chemical_formula_sum 'Mn2 As1 Rh1'
_cell_length_a 3.255
_cell_length_b 3.255
_cell_length_c 5.535
_cell_angle_alpha 90.00
_cell_angle_beta 90.00
_cell_angle_gamma 90.00
_space_group_name_H-M_alt 'P 4/m m m'
_space_group_IT_number 123
_space_group_name_Hall '-P 4 2'
loop_
_atom_site_label
_atom_site_type_symbol
_atom_site_fract_x
_atom_site_fract_y
_atom_site_fract_z
Mn1 Mn 0.000 0.000 0.245
As1 As 0.500 0.500 0.000
Rh1 Rh 0.500 0.500 0.500